Mg2IrPtO8: optimized geometry, PBE-GGA.

a b c (Å): 4.6629 4.6629 6.2690
angles (deg): 90.00 90.00 91.70
Element x y z (fractional)
Mg  0.0000  0.0000  0.2477
Mg  0.0000  0.0000  0.7523
Ir  0.5000  0.5000  0.5000
Pt  0.5000  0.5000  0.0000
O  0.2030  0.2030  0.0000
O  0.2138  0.2138  0.5000
O  0.3146  0.6854  0.2552
O  0.3146  0.6854  0.7448
O  0.6854  0.3146  0.2552
O  0.6854  0.3146  0.7448
O  0.7862  0.7862  0.5000
O  0.7970  0.7970  0.0000

Computed properties:
Crystal system   orthorhombic
SG   Cmmm, No. 65
Theoretical density   6.87 g/cm³

MgIrPtO6: optimized geometry, PBE-GGA.

a b c (Å): 5.1715 5.1715 8.9921
angles (deg): 90.00 90.00 120.00
Element x y z (fractional)
Mg  0.0000  0.0000  0.0000
Mg  0.0000  0.0000  0.5000
Ir  0.3333  0.6667  0.2500
Ir  0.6667  0.3333  0.7500
Pt  0.3333  0.6667  0.7500
Pt  0.6667  0.3333  0.2500
O  0.0077  0.3534  0.1310
O  0.0077  0.6543  0.3690
O  0.3457  0.3534  0.3690
O  0.3457  0.9923  0.1310
O  0.3534  0.0077  0.6310
O  0.3534  0.3457  0.8690
O  0.6466  0.6543  0.1310
O  0.6466  0.9923  0.3690
O  0.6543  0.0077  0.8690
O  0.6543  0.6466  0.6310
O  0.9923  0.3457  0.6310
O  0.9923  0.6466  0.8690

Computed properties:
Crystal system   trigonal
SG   P-31c, No. 163
Theoretical density   8.09 g/cm³

PuMgIrO6: optimized geometry, PBE-GGA.

a b c (Å): 5.1278 5.1278 9.5520
angles (deg): 90.00 90.00 120.00
Element x y z (fractional)
Pu  0.3333  0.6667  0.2500
Pu  0.6667  0.3333  0.7500
Mg  0.0000  0.0000  0.0000
Mg  0.0000  0.0000  0.5000
Ir  0.3333  0.6667  0.7500
Ir  0.6667  0.3333  0.2500
O  0.0088  0.3403  0.6302
O  0.0088  0.6685  0.8698
O  0.3315  0.3403  0.8698
O  0.3315  0.9912  0.6302
O  0.3403  0.0088  0.1302
O  0.3403  0.3315  0.3698
O  0.6597  0.6685  0.6302
O  0.6597  0.9912  0.8698
O  0.6685  0.0088  0.3698
O  0.6685  0.6597  0.1302
O  0.9912  0.3315  0.1302
O  0.9912  0.6597  0.3698

Computed properties:
Crystal system   trigonal
SG   P-31c, No. 163
Theoretical density   8.50 g/cm³

Number 1: formation energy (no corrections) -1.1869 eV per atom, Fermi-level density of states 0.386 states/eV per atom. Number 2: formation energy (no corrections) -0.9820 eV per atom, Fermi-level density of states 0.551 states/eV per atom. Number 3: formation energy (no corrections) -1.9593 eV per atom, Fermi-level density of states 0.066 states/eV per atom.